A relaxed structure of Al2Cu2Hg. Source: the Alexandria database, functional PBE.

Structure (POSCAR):
```
Al2Cu2Hg
1.0
7.7902 0.0000 0.0000
0.0000 7.7902 0.0000
0.0000 0.0000 2.6747
Al Cu Hg
4 4 2
Cartesian
1.0073 2.8878 0.0000 Al
2.8878 6.7829 0.0000 Al
4.9024 1.0073 0.0000 Al
6.7829 4.9024 0.0000 Al
1.2939 5.1890 1.3373 Cu
2.6012 1.2939 1.3373 Cu
5.1890 6.4964 1.3373 Cu
6.4964 2.6012 1.3373 Cu
0.0000 0.0000 0.0000 Hg
3.8951 3.8951 0.0000 Hg
```

Summary:
The value obtained for the energy relative to the lowest polymorph listed for this composition is 3 kJ/mol of formula units. As for the total moment: 0.000 μB/f.u. The value obtained for the formation energy is 27.9 meV per atom.